VASP calculation (GGA-PBE) on a relaxed structure of SrAsS3.

Cell: 5.6172 5.6172 5.6172 Å, 90.00 90.00 90.00°
Last column: nearest neighbours and their distance in Å.
Fractional coordinates of all 5 atoms:
1 S 0.0000 0.5000 0.0000  2 Sr 2.81
2 S 0.0000 0.0000 0.5000  2 Sr 2.81
3 S 0.5000 0.0000 0.0000  2 Sr 2.81
4 As 0.5000 0.5000 0.5000  12 S 3.97
5 Sr 0.0000 0.0000 0.0000  6 S 2.81

Computed properties:
DOS(E_F) ... 1.665 states/eV per atom
Raw formation energy ... 321 kJ/mol of formula units

=====

VASP calculation (GGA-PBE) on a relaxed structure of Ho8IrPt2.

Cell: 5.9611 7.5583 7.5583 Å, 112.39 100.82 100.82°
Last column: nearest neighbours and their distance in Å.
Fractional coordinates of all 11 atoms:
1 Ho 0.3762 0.6685 0.9252  2 Pt 2.84-2.85, 1 Ir 2.95
2 Ho 0.8087 0.6480 0.6480  1 Ir 3.01, 2 Pt 3.01
3 Ho 0.9888 0.2121 0.7895  1 Ir 2.84
4 Ho 0.3762 0.9252 0.6685  2 Pt 2.84-2.85, 1 Ir 2.95
5 Ho 0.9888 0.7895 0.2121  1 Ir 2.84
6 Ho 0.5796 0.0817 0.3391  2 Pt 2.82-2.83, 1 Ir 3.00
7 Ho 0.5796 0.3391 0.0817  2 Pt 2.82-2.83, 1 Ir 3.00
8 Ho 0.1670 0.3568 0.3568  1 Ir 2.97, 2 Pt 3.02
9 Pt 0.4872 0.6924 0.3192  6 Ho 2.82-3.02
10 Pt 0.4872 0.3192 0.6924  6 Ho 2.82-3.02
11 Ir 0.1605 0.0016 0.0016  8 Ho 2.84-3.01

Computed properties:
ΔE to the lowest computed polymorph ... 0.092 eV per atom
Energy of formation from the pure elements ... -6.57 eV/f.u.
DOS(E_F) ... 1.019 states/eV per atom

=====

VASP calculation (GGA-PBE) on a relaxed structure of YCd2Hg.

Cell: 4.4608 4.4608 4.8618 Å, 90.00 90.00 90.00°
Last column: nearest neighbours and their distance in Å.
Fractional coordinates of all 4 atoms:
1 Cd 0.5000 0.5000 0.0000  4 Cd 3.15, 4 Hg 3.30, 4 Y 3.30
2 Cd 0.0000 0.0000 0.0000  4 Cd 3.15, 4 Hg 3.30, 4 Y 3.30
3 Y 0.0000 0.5000 0.5000  4 Hg 3.15, 8 Cd 3.30
4 Hg 0.5000 0.0000 0.5000  4 Y 3.15, 8 Cd 3.30

Computed properties:
Energy of formation from the pure elements ... -1.23 eV/f.u.
DOS(E_F) ... 0.571 states/eV per atom

=====

Copy entry 1 word for word.
VASP calculation (GGA-PBE) on a relaxed structure of SrAsS3.

Cell: 5.6172 5.6172 5.6172 Å, 90.00 90.00 90.00°
Last column: nearest neighbours and their distance in Å.
Fractional coordinates of all 5 atoms:
1 S 0.0000 0.5000 0.0000  2 Sr 2.81
2 S 0.0000 0.0000 0.5000  2 Sr 2.81
3 S 0.5000 0.0000 0.0000  2 Sr 2.81
4 As 0.5000 0.5000 0.5000  12 S 3.97
5 Sr 0.0000 0.0000 0.0000  6 S 2.81

Computed properties:
DOS(E_F) ... 1.665 states/eV per atom
Raw formation energy ... 321 kJ/mol of formula units

=====

Question: DOS(E_F) of number 1 (SrAsS3)?
Answer: 1.665 states/eV per atom

=====

Question: DOS(E_F) of number 1 (SrAsS3)?
Answer: 1.665 states/eV per atom

=====

Question: Which value of DOS(E_F) does entry 3 give?
Answer: 0.571 states/eV per atom